Material: Nd4Ho5Sc
Method: DFT, PBE
State: optimized geometry

Computed properties:
**Electronic total energy**: -0.3391 Ry per atom
**Polymorph energy (0 for the lowest one)**: 0.026 eV/atom

a = 5.8367 Å, b = 8.0950 Å, c = 8.0950 Å
α = 82.53°, β = 68.87°, γ = 68.87°
Sites, in units of the cell vectors:
Nd 0.4450 0.6782 0.3216
Nd 0.7667 0.6784 0.6782
Ho 0.1480 0.9998 0.6277
Nd 0.4448 0.3218 0.6784
Ho 0.1479 0.6277 0.0002
Ho 0.7756 0.0002 0.3723
Ho 0.6790 0.0000 0.0000
Sc 0.2043 0.0000 0.0000
Nd 0.1232 0.3216 0.3218
Ho 0.7757 0.3723 0.9998

***

Material: Sn7SBr12
Method: DFT, PBE
State: optimized geometry

Computed properties:
**Electronic total energy**: -0.2442 Ry per atom
**E_form (uncorrected)**: -712 meV per atom

a = 9.6135 Å, b = 9.6135 Å, c = 9.6135 Å
α = 106.93°, β = 106.93°, γ = 106.93°
Sites, in units of the cell vectors:
Br 0.6345 0.5410 0.8425
Sn 0.5000 0.5000 0.5000
Sn 0.1108 0.0317 0.3389
S 0.0000 0.0000 0.0000
Br 0.8425 0.6345 0.5410
Br 0.1575 0.3655 0.4590
Br 0.3655 0.4590 0.1575
Br 0.2104 0.0571 0.6777
Br 0.9429 0.3223 0.7896
Br 0.7896 0.9429 0.3223
Sn 0.0317 0.3389 0.1108
Sn 0.9683 0.6611 0.8892
Sn 0.6611 0.8892 0.9683
Br 0.3223 0.7896 0.9429
Sn 0.8892 0.9683 0.6611
Br 0.6777 0.2104 0.0571
Br 0.4590 0.1575 0.3655
Sn 0.3389 0.1108 0.0317
Br 0.5410 0.8425 0.6345
Br 0.0571 0.6777 0.2104

***

Material: CsThGaI6
Method: DFT, PBE
State: optimized geometry

Computed properties:
**Electronic total energy**: -0.2515 Ry per atom
**E_form (uncorrected)**: -1133 meV per atom

a = 8.3677 Å, b = 8.3677 Å, c = 16.7831 Å
α = 90.00°, β = 90.00°, γ = 120.00°
Sites, in units of the cell vectors:
I 0.3598 0.9807 0.6443
I 0.3791 0.3598 0.3557
I 0.6402 0.0193 0.3557
Th 0.6667 0.3333 0.2500
Ga 0.3333 0.6667 0.2500
Cs 0.0000 0.0000 0.5000
Cs 0.0000 0.0000 0.0000
Ga 0.6667 0.3333 0.7500
Th 0.3333 0.6667 0.7500
I 0.6402 0.6209 0.1443
I 0.0193 0.3791 0.6443
I 0.9807 0.6209 0.3557
I 0.0193 0.6402 0.8557
I 0.3598 0.3791 0.8557
I 0.9807 0.3598 0.1443
I 0.6209 0.6402 0.6443
I 0.6209 0.9807 0.8557
I 0.3791 0.0193 0.1443